Entry 1:
## HoZnRhPb (PBE)

Data for a geometry-optimized HoZnRhPb structure.

Cell and atoms, written as POSCAR:
```
HoZnRhPb
1.0
0.0000 3.4334 3.4334
3.4334 0.0000 3.4334
3.4334 3.4334 0.0000
Ho Zn Rh Pb
1 1 1 1
Cartesian
0.0000 0.0000 0.0000 Ho
1.7167 1.7167 1.7167 Zn
5.1501 5.1501 5.1501 Rh
3.4334 3.4334 3.4334 Pb
```

Computed properties:
V (A^3/atom): 20.24
ΔE_f (eV/atom): -0.35

Entry 2:
## Ho8RuPb2 (PBE)

Data for a geometry-optimized Ho8RuPb2 structure.

Cell and atoms, written as POSCAR:
```
Ho8RuPb2
1.0
9.6350 -2.5080 0.0000
9.6350 2.5080 0.0000
-1.8131 0.0000 6.4222
Ho Ru Pb
8 1 2
Cartesian
-0.1581 0.0000 1.8397 Ho
2.6793 0.0000 5.2927 Ho
5.9924 0.0000 3.1973 Ho
7.8716 0.0000 0.2770 Ho
9.5853 0.0000 6.1453 Ho
11.4645 0.0000 3.2249 Ho
14.7777 0.0000 1.1295 Ho
17.6150 0.0000 4.5825 Ho
8.7285 0.0000 3.2111 Ru
3.0233 0.0000 1.6732 Pb
14.4337 0.0000 4.7490 Pb
```

Computed properties:
V (A^3/atom): 28.22
ΔE_f (eV/atom): -0.28

Entry 3:
## Ho2RuPb2 (PBE)

Data for a geometry-optimized Ho2RuPb2 structure.

Cell and atoms, written as POSCAR:
```
Ho2RuPb2
1.0
-1.7205 1.7205 10.9448
1.7205 -1.7205 10.9448
1.7205 1.7205 -10.9448
Ho Ru Pb
2 1 2
Cartesian
0.0000 0.0000 1.6335 Ho
0.0000 0.0000 20.2561 Ho
0.0000 0.0000 10.9448 Ru
0.0000 0.0000 6.7686 Pb
0.0000 0.0000 15.1210 Pb
```

Computed properties:
V (A^3/atom): 25.92
ΔE_f (eV/atom): -0.30

no.,total energy (eV per atom)
1,-4.57
2,-5.12
3,-5.47